Here is a relaxed structure of BaInCo2Au from Alexandria. Energies are from PBE.

Cell: 4.8626 4.8626 6.5167 Å, 90.00 90.00 90.00°
Space group P4/mmm (No. 123)
Symmetry-distinct sites (fractional):
1 Ba 0.0000 0.0000 0.0000 x1
2 In 0.0000 0.0000 0.5000 x1
3 Co 0.0000 0.5000 0.5000 x2
4 Au 0.5000 0.5000 0.0000 x1

Calculated values
formation energy from the elements	4.55	eV per formula unit
energy	-17.6	eV/cell
density of states at the Fermi level	6.943	states/eV/f.u.